[1]
First-principles (PBEsol) data for a geometry-optimized AlZnAg structure, as listed in Alexandria. Values from VASP.

Cell and atoms, written as Quantum ESPRESSO input:
```
&SYSTEM
  ibrav = 0, nat = 3, ntyp = 3
/
ATOMIC_SPECIES
Ag 107.87 Ag.upf
Zn 65.41 Zn.upf
Al 26.98 Al.upf
ATOMIC_POSITIONS crystal
Ag 0.0000 0.0000 0.0000
Zn 0.3332 0.3332 0.6663
Al 0.6667 0.6667 0.3335
CELL_PARAMETERS angstrom
3.0857 0.0000 0.0000
0.0000 3.7171 0.0000
-1.5428 -1.8586 4.0426
```

Output
As for the space group: Imm2 (44). For the offset from the most stable computed form, the calculation gives 0.0 meV per atom.



[2]
First-principles (PBEsol) data for a geometry-optimized AlZn2Ag structure, as listed in Alexandria. Values from VASP.

Cell and atoms, written as Quantum ESPRESSO input:
```
&SYSTEM
  ibrav = 0, nat = 4, ntyp = 3
/
ATOMIC_SPECIES
Zn 65.41 Zn.upf
Ag 107.87 Ag.upf
Al 26.98 Al.upf
ATOMIC_POSITIONS crystal
Zn 0.7500 0.2500 0.5000
Zn 0.2500 0.7500 0.5000
Ag 0.5000 0.5000 0.0000
Al 0.0000 0.0000 0.0000
CELL_PARAMETERS angstrom
-2.7805 2.5902 -0.9419
0.3638 -0.9813 -3.7725
-1.5542 -3.6022 2.8185
```

Output
As for the space group: I4/mmm (139).



Number 1: E_form -45.4 meV/atom, total moment 0.0 μB/cell. Number 2: E_form -2.0 meV/atom, total moment 0.0 μB/cell.